# LaB5O9 | the Alexandria database | GGA-PBEsol | optimized geometry
# DOS(E_F): 0.000 states/eV/f.u.
# Formation energy without anion corrections: -2.6956 eV/atom
# SG: P2_1/c (14)
# Crystal system: monoclinic
# Mass density: 3.78 g/cm³
# E: -512.4 eV for the cell shown
# Spin magnetization: 0.000 μB/cell
data_LaB5O9
_chemical_formula_sum 'La4 B20 O36'
_cell_length_a 6.439
_cell_length_b 11.674
_cell_length_c 8.157
_cell_angle_alpha 90.00
_cell_angle_beta 105.13
_cell_angle_gamma 90.00
_space_group_name_H-M_alt 'P 1'
_space_group_IT_number 1
_space_group_name_Hall 'P 1'
loop_
_atom_site_label
_atom_site_fract_x
_atom_site_fract_y
_atom_site_fract_z
La1 0.249 0.175 0.357
La2 0.249 0.325 0.857
La3 0.751 0.675 0.143
La4 0.751 0.825 0.643
B1 0.145 0.034 0.743
B2 0.145 0.466 0.243
B3 0.189 0.629 0.911
B4 0.189 0.871 0.411
B5 0.227 0.748 0.172
B6 0.227 0.752 0.672
B7 0.290 0.054 0.045
B8 0.290 0.446 0.545
B9 0.484 0.598 0.776
B10 0.484 0.902 0.276
B11 0.516 0.098 0.724
B12 0.516 0.402 0.224
B13 0.710 0.554 0.455
B14 0.710 0.946 0.955
B15 0.773 0.248 0.328
B16 0.773 0.252 0.828
B17 0.811 0.129 0.589
B18 0.811 0.371 0.089
B19 0.855 0.534 0.757
B20 0.855 0.966 0.257
O1 0.070 0.523 0.840
O2 0.070 0.977 0.340
O3 0.110 0.722 0.784
O4 0.110 0.778 0.284
O5 0.137 0.659 0.069
O6 0.137 0.841 0.569
O7 0.220 0.514 0.403
O8 0.220 0.986 0.903
O9 0.240 0.168 0.047
O10 0.240 0.332 0.547
O11 0.277 0.099 0.673
O12 0.277 0.401 0.173
O13 0.402 0.010 0.200
O14 0.402 0.490 0.700
O15 0.415 0.700 0.665
O16 0.415 0.800 0.165
O17 0.418 0.613 0.934
O18 0.418 0.887 0.434
O19 0.582 0.113 0.566
O20 0.582 0.387 0.066
O21 0.585 0.200 0.835
O22 0.585 0.300 0.335
O23 0.598 0.510 0.300
O24 0.598 0.990 0.800
O25 0.723 0.599 0.827
O26 0.723 0.901 0.327
O27 0.760 0.668 0.453
O28 0.760 0.832 0.953
O29 0.780 0.014 0.097
O30 0.780 0.486 0.597
O31 0.863 0.159 0.431
O32 0.863 0.341 0.931
O33 0.890 0.222 0.716
O34 0.890 0.278 0.216
O35 0.930 0.023 0.660
O36 0.930 0.477 0.160

# NaCrW2O8 | the Alexandria database | GGA-PBEsol | optimized geometry
# Formation energy without anion corrections: -2.0891 eV/atom
# SG: P2/c (13)
# Crystal system: monoclinic
# Mass density: 6.84 g/cm³
# E: -212.6 eV for the cell shown
# Spin magnetization: 6.000 μB/cell
data_NaCrW2O8
_chemical_formula_sum 'Na2 Cr2 W4 O16'
_cell_length_a 9.808
_cell_length_b 5.715
_cell_length_c 4.945
_cell_angle_alpha 90.00
_cell_angle_beta 90.06
_cell_angle_gamma 90.00
_space_group_name_H-M_alt 'P 1'
_space_group_IT_number 1
_space_group_name_Hall 'P 1'
loop_
_atom_site_label
_atom_site_fract_x
_atom_site_fract_y
_atom_site_fract_z
Na1 0.000 0.191 0.250
Na2 0.000 0.809 0.750
Cr1 0.500 0.149 0.250
Cr2 0.500 0.851 0.750
W1 0.268 0.319 0.738
W2 0.268 0.681 0.238
W3 0.732 0.319 0.762
W4 0.732 0.681 0.262
O1 0.149 0.119 0.617
O2 0.149 0.881 0.117
O3 0.173 0.411 0.050
O4 0.173 0.589 0.550
O5 0.379 0.375 0.417
O6 0.379 0.625 0.917
O7 0.395 0.119 0.913
O8 0.395 0.881 0.413
O9 0.605 0.119 0.587
O10 0.605 0.881 0.087
O11 0.621 0.375 0.083
O12 0.621 0.625 0.583
O13 0.827 0.411 0.450
O14 0.827 0.589 0.950
O15 0.851 0.119 0.883
O16 0.851 0.881 0.383

# LiTcAs | the Alexandria database | GGA-PBEsol | optimized geometry
# DOS(E_F): 2.370 states/eV/f.u.
# SG: F-43m (216)
# Crystal system: cubic
# Mass density: 6.36 g/cm³
# DFT formation energy: 0.2173 eV/atom
# E: -17.7 eV for the cell shown
# Spin magnetization: 0.001 μB/cell
data_LiTcAs
_chemical_formula_sum 'Li1 Tc1 As1'
_cell_length_a 4.049
_cell_length_b 4.049
_cell_length_c 4.049
_cell_angle_alpha 60.00
_cell_angle_beta 60.00
_cell_angle_gamma 60.00
_space_group_name_H-M_alt 'P 1'
_space_group_IT_number 1
_space_group_name_Hall 'P 1'
loop_
_atom_site_label
_atom_site_fract_x
_atom_site_fract_y
_atom_site_fract_z
Li1 0.000 0.000 0.000
Tc1 0.750 0.750 0.750
As1 0.500 0.500 0.500

# TlCd2 | the Alexandria database | GGA-PBEsol | optimized geometry
# DOS(E_F): 1.216 states/eV/f.u.
# SG: Pnma (62)
# Crystal system: orthorhombic
# Mass density: 10.09 g/cm³
# DFT formation energy: 0.0661 eV/atom
# E: -19.3 eV for the cell shown
# Spin magnetization: 0.000 μB/cell
data_TlCd2
_chemical_formula_sum 'Tl4 Cd8'
_cell_length_a 6.368
_cell_length_b 4.567
_cell_length_c 9.713
_cell_angle_alpha 90.00
_cell_angle_beta 90.00
_cell_angle_gamma 90.00
_space_group_name_H-M_alt 'P 1'
_space_group_IT_number 1
_space_group_name_Hall 'P 1'
loop_
_atom_site_label
_atom_site_fract_x
_atom_site_fract_y
_atom_site_fract_z
Tl1 0.126 0.250 0.090
Tl2 0.374 0.750 0.590
Tl3 0.626 0.250 0.410
Tl4 0.874 0.750 0.910
Cd1 0.117 0.250 0.743
Cd2 0.124 0.250 0.418
Cd3 0.376 0.750 0.918
Cd4 0.383 0.750 0.243
Cd5 0.617 0.250 0.757
Cd6 0.624 0.250 0.082
Cd7 0.876 0.750 0.582
Cd8 0.883 0.750 0.257

# HfHgAsBr2 | the Alexandria database | GGA-PBEsol | optimized geometry
# DOS(E_F): 2.649 states/eV/f.u.
# Formation energy without anion corrections: -0.3908 eV/atom
# SG: P4/mmm (123)
# Crystal system: tetragonal
# Mass density: 7.28 g/cm³
# E: -21.9 eV for the cell shown
# Spin magnetization: 0.000 μB/cell
data_HfHgAsBr2
_chemical_formula_sum 'Hf1 Hg1 As1 Br2'
_cell_length_a 5.168
_cell_length_b 5.168
_cell_length_c 5.240
_cell_angle_alpha 90.00
_cell_angle_beta 90.00
_cell_angle_gamma 90.00
_space_group_name_H-M_alt 'P 1'
_space_group_IT_number 1
_space_group_name_Hall 'P 1'
loop_
_atom_site_label
_atom_site_fract_x
_atom_site_fract_y
_atom_site_fract_z
Hf1 0.000 0.000 0.000
Hg1 0.500 0.500 0.500
As1 0.000 0.000 0.500
Br1 0.000 0.500 0.000
Br2 0.500 0.000 0.000

# LiTl2Cd | the Alexandria database | GGA-PBEsol | optimized geometry
# DOS(E_F): 1.563 states/eV/f.u.
# SG: Pmm2 (25)
# Crystal system: orthorhombic
# Mass density: 9.38 g/cm³
# DFT formation energy: -0.0833 eV/atom
# E: -8.8 eV for the cell shown
# Spin magnetization: 0.000 μB/cell
data_LiTl2Cd
_chemical_formula_sum 'Li1 Tl2 Cd1'
_cell_length_a 3.746
_cell_length_b 3.932
_cell_length_c 6.349
_cell_angle_alpha 90.00
_cell_angle_beta 90.00
_cell_angle_gamma 90.00
_space_group_name_H-M_alt 'P 1'
_space_group_IT_number 1
_space_group_name_Hall 'P 1'
loop_
_atom_site_label
_atom_site_fract_x
_atom_site_fract_y
_atom_site_fract_z
Li1 0.000 0.000 0.000
Tl1 0.000 0.000 0.521
Tl2 0.500 0.500 0.240
Cd1 0.500 0.500 0.769